[1]
Ge2Au2O5 | GGA-PBE | relaxed

a = 4.116 Å, b = 4.116 Å, c = 6.853 Å
α = 90.00°, β = 90.00°, γ = 90.00°
Space group P4/mmm (No. 123)
Asymmetric unit:
Ge (0.000, 0.000, 0.000) x1
Ge (0.000, 0.000, 0.500) x1
Au (0.500, 0.500, 0.195) x2
O (0.000, 0.500, 0.225) x4
O (0.500, 0.500, 0.500) x1

Values from the calculation:
- ΔE to the lowest computed polymorph: 546 meV per atom

---

[2]
Ge2Au2O5 | GGA-PBE | relaxed

a = 3.625 Å, b = 3.625 Å, c = 8.404 Å
α = 90.00°, β = 90.00°, γ = 90.00°
Space group P4/mmm (No. 123)
Asymmetric unit:
Ge (0.000, 0.000, 0.223) x2
Au (0.500, 0.500, 0.000) x1
Au (0.500, 0.500, 0.500) x1
O (0.000, 0.000, 0.000) x1
O (0.000, 0.500, 0.279) x4

Values from the calculation:
- ΔE to the lowest computed polymorph: 0 meV per atom

---

[3]
Ge2AuO4 | GGA-PBE | relaxed

a = 8.862 Å, b = 8.862 Å, c = 8.862 Å
α = 90.00°, β = 90.00°, γ = 90.00°
Space group Fd-3m (No. 227, origin choice 2)
Asymmetric unit:
Ge (0.000, 0.000, 0.000) x16
Au (0.125, 0.125, 0.625) x8
O (0.023, 0.023, 0.227) x32

---

One value per record, in order, for E: -4.43; -4.97; -5.43 eV/atom.